SiNi2W (GGA-PBE, optimized geometry); uncorrected formation energy = -0.29 eV per formula unit; space group = I4/mmm
1.0
-1.824 1.824 3.765
1.824 -1.824 3.765
1.824 1.824 -3.765
Si Ni W
1 2 1
direct
0.000 0.000 0.000
0.250 0.750 0.500
0.750 0.250 0.500
0.500 0.500 0.000

***

BaSiSb2 (GGA-PBE, optimized geometry); uncorrected formation energy = -0.02 eV per formula unit; space group = I-4m2
1.0
-2.381 2.381 5.183
2.381 -2.381 5.183
2.381 2.381 -5.183
Ba Si Sb
1 1 2
direct
0.000 0.000 0.000
0.750 0.250 0.500
0.250 0.750 0.500
0.500 0.500 0.000

***

SrZnGa2Pt (GGA-PBE, optimized geometry); E above lowest polymorph = 0 meV per atom; ΔH_f (0 K) = -0.572 eV per atom; space group = I-4m2
1.0
-2.199 2.199 5.319
2.199 -2.199 5.319
2.199 2.199 -5.319
Sr Zn Ga Pt
1 1 2 1
direct
0.000 0.000 0.000
0.750 0.250 0.500
0.374 0.374 0.000
0.626 0.626 0.000
0.250 0.750 0.500

***

CaBeVCo2 (GGA-PBE, optimized geometry); ΔH_f (0 K) = 0.861 eV per atom; space group = P4/mmm
1.0
4.082 0.000 0.000
0.000 4.082 0.000
0.000 0.000 4.637
Ca Be V Co
1 1 1 2
direct
0.000 0.000 0.000
0.000 0.000 0.500
0.500 0.500 0.000
0.000 0.500 0.500
0.500 0.000 0.500

***

BaScRe (GGA-PBE, optimized geometry); E above lowest polymorph = 197 meV per atom; ΔH_f (0 K) = 0.810 eV per atom; space group = P3m1
1.0
3.417 0.000 0.000
-1.708 2.959 0.000
0.000 0.000 7.931
Ba Sc Re
1 1 1
direct
0.000 0.000 0.000
0.333 0.667 0.541
0.667 0.333 0.312

***

Li2NdY2Tl2 (GGA-PBE, optimized geometry); ΔH_f (0 K) = -0.202 eV per atom; space group = R-3m
1.0
2.436 1.406 9.075
-2.436 1.406 9.075
0.000 -2.813 9.075
Li Nd Y Tl
2 1 2 2
direct
0.097 0.097 0.097
0.903 0.903 0.903
0.500 0.500 0.500
0.372 0.372 0.372
0.628 0.628 0.628
0.241 0.241 0.241
0.759 0.759 0.759

***

La2CdNi12P3 (GGA-PBE, optimized geometry); ΔH_f (0 K) = -0.043 eV per atom; space group = R-3m
1.0
3.858 2.228 5.647
-3.858 2.228 5.647
0.000 -4.455 5.647
La Cd Ni P
2 1 12 3
direct
0.110 0.110 0.110
0.890 0.890 0.890
0.500 0.500 0.500
0.103 0.636 0.636
0.164 0.164 0.599
0.164 0.599 0.164
0.364 0.364 0.897
0.364 0.897 0.364
0.401 0.836 0.836
0.599 0.164 0.164
0.636 0.103 0.636
0.636 0.636 0.103
0.836 0.401 0.836
0.836 0.836 0.401
0.897 0.364 0.364
0.000 0.500 0.500
0.500 0.000 0.500
0.500 0.500 0.000

***

Er3Ga2Cu6 (GGA-PBE, optimized geometry); ΔH_f (0 K) = -0.358 eV per atom; space group = Im-3m
1.0
-4.525 4.525 4.525
4.525 -4.525 4.525
4.525 4.525 -4.525
Er Ga Cu
6 4 12
direct
0.000 0.277 0.277
0.000 0.723 0.723
0.277 0.000 0.277
0.277 0.277 0.000
0.723 0.000 0.723
0.723 0.723 0.000
0.000 0.000 0.500
0.000 0.500 0.000
0.500 0.000 0.000
0.500 0.500 0.500
0.000 0.337 0.663
0.000 0.663 0.337
0.327 0.663 0.663
0.337 0.000 0.663
0.337 0.337 0.673
0.337 0.663 0.000
0.337 0.673 0.337
0.663 0.000 0.337
0.663 0.327 0.663
0.663 0.337 0.000
0.663 0.663 0.327
0.673 0.337 0.337

***

Per-record density, g/cm³: 10.9; 5.8; 7.9; 4.7; 7.6; 6.6; 6.8; 9.2